[1]
The following is a meta-GGA SCAN calculation of a PBEsol-optimized structure of YZnPO2, from Alexandria.

a b c (Å): 4.1237 4.1237 5.8412
angles (deg): 90.00 90.00 90.00
Each line ends with the local moment (μB).
Element x y z (fractional)
Y1 0.0000 0.0000 0.0000  0.08
P1 0.0000 0.0000 0.5000  0.38
Zn1 0.5000 0.5000 0.5000  -0.02
O1 0.0000 0.5000 0.0000  0.54
O2 0.5000 0.0000 0.0000  0.54

Results
energy above the lowest structure with this stoichiometry: 237 meV/atom
space group: P4/mmm, No. 123
formation energy from raw total energies: -0.800 eV per atom

=====

[2]
The following is a meta-GGA SCAN calculation of a PBEsol-optimized structure of Zn2P2O7, from Alexandria.

a b c (Å): 4.5160 5.2760 5.2760
angles (deg): 103.35 98.97 98.97
Element x y z (fractional)
Zn1 0.5000 0.3092 0.6908
Zn2 0.5000 0.6908 0.3092
P1 0.0932 0.7829 0.7829
P2 0.9068 0.2171 0.2171
O1 0.2786 0.6222 0.9300
O2 0.7214 0.0700 0.3778
O3 0.7214 0.3778 0.0700
O4 0.2786 0.9300 0.6222
O5 0.2144 0.3837 0.3837
O6 0.0000 0.0000 0.0000
O7 0.7856 0.6163 0.6163

Results
space group: C2/m, No. 12
formation energy from raw total energies: -2.217 eV per atom

=====

[3]
The following is a meta-GGA SCAN calculation of a PBEsol-optimized structure of ZnPO2, from Alexandria.

a b c (Å): 4.1662 4.1662 6.3315
angles (deg): 109.21 109.21 90.00
Element x y z (fractional)
P1 0.7500 0.2500 0.5000
P2 0.5000 0.5000 0.0000
Zn1 0.2500 0.7500 0.5000
Zn2 0.0000 0.0000 0.0000
O1 0.3863 0.8750 0.2500
O2 0.8637 0.3750 0.2500
O3 0.1250 0.1363 0.7500
O4 0.6250 0.6137 0.7500

Results
space group: I-42d, No. 122
formation energy from raw total energies: -0.542 eV per atom

=====

[4]
The following is a meta-GGA SCAN calculation of a PBEsol-optimized structure of ZnP3O, from Alexandria.

a b c (Å): 4.5146 4.5146 4.5146
angles (deg): 90.00 90.00 90.00
Each line ends with the local moment (μB).
Element x y z (fractional)
P1 0.0000 0.5000 0.0000  0.18
P2 0.0000 0.0000 0.5000  0.18
P3 0.5000 0.0000 0.0000  0.18
Zn1 0.0000 0.0000 0.0000  -0.01
O1 0.5000 0.5000 0.5000  1.23

Results
space group: Pm-3m, No. 221
formation energy from raw total energies: 1.516 eV per atom

=====

[5]
The following is a meta-GGA SCAN calculation of a PBEsol-optimized structure of ZrZnP2O, from Alexandria.

a b c (Å): 3.9219 5.1153 5.1153
angles (deg): 90.00 90.00 90.00
Element x y z (fractional)
P1 0.0000 0.0000 0.5000
P2 0.0000 0.5000 0.0000
Zn1 0.5000 0.5000 0.5000
O1 0.5000 0.0000 0.0000
Zr1 0.0000 0.0000 0.0000

Results
space group: P4/mmm, No. 123
formation energy from raw total energies: -0.361 eV per atom

=====

[6]
The following is a meta-GGA SCAN calculation of a PBEsol-optimized structure of ZrP2O7, from Alexandria.

a b c (Å): 5.4409 6.7997 8.4851
angles (deg): 90.00 90.00 90.00
Element x y z (fractional)
O1 0.7681 0.8029 0.4330
O2 0.7681 0.1971 0.5670
O3 0.7319 0.3029 0.0670
O4 0.7319 0.6971 0.9330
O5 0.2319 0.1971 0.5670
O6 0.2319 0.8029 0.4330
O7 0.2681 0.6971 0.9330
O8 0.2681 0.3029 0.0670
O9 0.0000 0.6189 0.2232
O10 0.0000 0.3811 0.7768
O11 0.5000 0.1189 0.2768
O12 0.5000 0.8811 0.7232
O13 0.5000 0.0000 0.0000
O14 0.0000 0.5000 0.5000
P1 0.0000 0.6894 0.3928
P2 0.0000 0.3106 0.6072
P3 0.5000 0.1894 0.1072
P4 0.5000 0.8106 0.8928
Zr1 0.0000 0.5000 0.0000
Zr2 0.5000 0.0000 0.5000

Results
space group: Pnnm, No. 58
formation energy from raw total energies: -2.913 eV per atom

=====

[7]
The following is a meta-GGA SCAN calculation of a PBEsol-optimized structure of Zr6P2O, from Alexandria.

a b c (Å): 3.5054 5.6159 8.3106
angles (deg): 92.02 90.00 108.19
Element x y z (fractional)
Zr1 0.1371 0.2742 0.5489
Zr2 0.8629 0.7258 0.4511
Zr3 0.1402 0.2803 0.9416
Zr4 0.8598 0.7197 0.0584
Zr5 0.4379 0.8758 0.7542
Zr6 0.5621 0.1242 0.2458
P1 0.7473 0.4946 0.7510
P2 0.2527 0.5054 0.2490
O1 0.5000 0.0000 0.5000

Results
space group: C2/m, No. 12
formation energy from raw total energies: -1.444 eV per atom

=====

[8]
The following is a meta-GGA SCAN calculation of a PBEsol-optimized structure of Zr2P2O9, from Alexandria.

a b c (Å): 5.4789 5.4789 11.8955
angles (deg): 90.00 90.00 105.24
Element x y z (fractional)
O1 0.0147 0.6332 0.0846
O2 0.4853 0.8668 0.5846
O3 0.8668 0.4853 0.4154
O4 0.6332 0.0147 0.9154
O5 0.9853 0.3668 0.9154
O6 0.5147 0.1332 0.4154
O7 0.1332 0.5147 0.5846
O8 0.3668 0.9853 0.0846
O9 0.6387 0.3613 0.2280
O10 0.8613 0.1387 0.7280
O11 0.1387 0.8613 0.2720
O12 0.3613 0.6387 0.7720
O13 0.5000 0.5000 0.0000
O14 0.0000 0.0000 0.5000
O15 0.9358 0.0642 0.1229
O16 0.5642 0.4358 0.6229
O17 0.4358 0.5642 0.3771
O18 0.0642 0.9358 0.8771
P1 0.1064 0.8936 0.1469
P2 0.3936 0.6064 0.6469
P3 0.6064 0.3936 0.3531
P4 0.8936 0.1064 0.8531
Zr1 0.2064 0.7936 0.4380
Zr2 0.2936 0.7064 0.9380
Zr3 0.7064 0.2936 0.0620
Zr4 0.7936 0.2064 0.5620

Results
energy above the lowest structure with this stoichiometry: 0 meV/atom
space group: Cmce, No. 64
formation energy from raw total energies: -3.156 eV per atom

=====

[9]
The following is a meta-GGA SCAN calculation of a PBEsol-optimized structure of Zr2P2O9, from Alexandria.

a b c (Å): 6.6165 7.6541 8.2844
angles (deg): 79.30 66.46 64.39
Element x y z (fractional)
Zr1 0.9429 0.2106 0.9036
Zr2 0.0571 0.7894 0.0964
Zr3 0.3160 0.7317 0.6364
Zr4 0.6840 0.2683 0.3636
P1 0.4071 0.3515 0.8344
P2 0.1702 0.1994 0.4601
P3 0.5929 0.6485 0.1656
P4 0.8298 0.8006 0.5399
O1 0.3753 0.2686 0.3610
O2 0.3816 0.7537 0.1044
O3 0.5156 0.6012 0.3677
O4 0.6184 0.2463 0.8956
O5 0.9952 0.2686 0.3610
O6 0.6247 0.7314 0.6390
O7 0.2668 0.5654 0.9010
O8 0.7332 0.4346 0.0990
O9 0.4844 0.3988 0.6323
O10 0.7267 0.0238 0.5228
O11 0.0334 0.2879 0.6454
O12 0.9666 0.7121 0.3546
O13 0.8862 0.0716 0.1560
O14 0.0048 0.7314 0.6390
O15 0.2397 0.2463 0.8956
O16 0.2733 0.9762 0.4772
O17 0.7603 0.7537 0.1044
O18 0.1138 0.9284 0.8440

Results
energy above the lowest structure with this stoichiometry: 3 meV/atom
space group: C2/m, No. 12
formation energy from raw total energies: -3.153 eV per atom

=====

[10]
The following is a meta-GGA SCAN calculation of a PBEsol-optimized structure of Zr2P3O12, from Alexandria.

a b c (Å): 8.9988 9.0435 12.6414
angles (deg): 90.00 90.02 90.00
Each line ends with the local moment (μB).
Element x y z (fractional)
Zr1 0.2496 0.5322 0.8823  -0.02
Zr2 0.2503 0.4679 0.3823  -0.02
Zr3 0.2504 0.0322 0.6177  -0.02
Zr4 0.2497 0.9679 0.1177  -0.02
Zr5 0.7503 0.0321 0.8823  -0.02
Zr6 0.7496 0.9678 0.3823  -0.02
Zr7 0.7497 0.5321 0.6177  -0.02
Zr8 0.7504 0.4678 0.1177  -0.02
P1 0.0305 0.7500 0.5000  -0.01
P2 0.1122 0.8918 0.8570  -0.01
P3 0.1122 0.6082 0.1429  -0.01
P4 0.3878 0.1082 0.3571  -0.01
P5 0.3878 0.3918 0.6430  -0.01
P6 0.4695 0.2500 0.0000  -0.01
P7 0.5305 0.7500 0.0000  -0.01
P8 0.6122 0.6082 0.3570  -0.01
P9 0.6122 0.8918 0.6429  -0.01
P10 0.8878 0.3918 0.8571  -0.01
P11 0.8878 0.1082 0.1430  -0.01
P12 0.9695 0.2500 0.5000  -0.01
O1 0.0571 0.4140 0.8576  0.10
O2 0.0671 0.3415 0.4248  0.11
O3 0.0672 0.1588 0.5754  0.11
O4 0.0572 0.0858 0.1430  0.10
O5 0.1292 0.8526 0.5659  0.11
O6 0.1472 0.7273 0.8397  0.06
O7 0.1759 0.9420 0.9636  0.10
O8 0.1296 0.6476 0.4341  0.11
O9 0.1800 0.5150 0.2323  0.06
O10 0.1804 0.9849 0.7677  0.06
O11 0.1474 0.7727 0.1604  0.06
O12 0.1764 0.5581 0.0365  0.10
O13 0.3196 0.4849 0.7323  0.06
O14 0.3236 0.0581 0.4635  0.10
O15 0.3526 0.2727 0.3396  0.06
O16 0.3200 0.0150 0.2677  0.06
O17 0.3241 0.4420 0.5364  0.10
O18 0.3704 0.1476 0.0659  0.11
O19 0.3528 0.2273 0.6603  0.06
O20 0.3708 0.3526 0.9341  0.11
O21 0.4328 0.6588 0.9246  0.11
O22 0.4428 0.5858 0.3570  0.10
O23 0.4429 0.9140 0.6424  0.10
O24 0.4329 0.8415 0.0752  0.11
O25 0.5671 0.1585 0.9248  0.11
O26 0.5571 0.0860 0.3576  0.10
O27 0.5572 0.4142 0.6430  0.10
O28 0.5672 0.3412 0.0754  0.11
O29 0.6292 0.6474 0.0659  0.11
O30 0.6472 0.7727 0.3397  0.06
O31 0.6296 0.8524 0.9341  0.11
O32 0.6759 0.5580 0.4636  0.10
O33 0.6800 0.9850 0.7323  0.06
O34 0.6474 0.7273 0.6604  0.06
O35 0.6764 0.9419 0.5365  0.10
O36 0.6804 0.5151 0.2677  0.06
O37 0.8236 0.4419 0.9635  0.10
O38 0.8526 0.2273 0.8396  0.06
O39 0.8196 0.0151 0.2323  0.06
O40 0.8200 0.4850 0.7677  0.06
O41 0.8704 0.3524 0.5659  0.11
O42 0.8241 0.0580 0.0364  0.10
O43 0.8528 0.2727 0.1603  0.06
O44 0.8708 0.1474 0.4341  0.11
O45 0.9428 0.9142 0.8570  0.10
O46 0.9328 0.8412 0.4246  0.11
O47 0.9329 0.6585 0.5752  0.11
O48 0.9429 0.5860 0.1424  0.10

Results
space group: Pbcn, No. 60
formation energy from raw total energies: -2.873 eV per atom

=====

[11]
The following is a meta-GGA SCAN calculation of a PBEsol-optimized structure of ZrP2O7, from Alexandria.

a b c (Å): 8.4726 8.4726 8.4726
angles (deg): 90.00 90.00 90.00
Element x y z (fractional)
Zr1 0.0000 0.5000 0.5000
Zr2 0.5000 0.5000 0.0000
Zr3 0.5000 0.0000 0.5000
Zr4 0.0000 0.0000 0.0000
P1 0.3925 0.1075 0.8925
P2 0.1075 0.8925 0.3925
P3 0.8925 0.3925 0.1075
P4 0.6075 0.6075 0.6075
P5 0.6075 0.8925 0.1075
P6 0.8925 0.1075 0.6075
P7 0.1075 0.6075 0.8925
P8 0.3925 0.3925 0.3925
O1 0.5000 0.0000 0.0000
O2 0.0000 0.0000 0.5000
O3 0.0000 0.5000 0.0000
O4 0.5000 0.5000 0.5000
O5 0.9423 0.2231 0.0775
O6 0.4423 0.2769 0.9225
O7 0.0577 0.7231 0.4225
O8 0.2769 0.9225 0.4423
O9 0.4225 0.0577 0.7231
O10 0.9225 0.4423 0.2769
O11 0.2231 0.0775 0.9423
O12 0.0775 0.9423 0.2231
O13 0.4423 0.2231 0.4225
O14 0.4225 0.4423 0.2231
O15 0.2231 0.4225 0.4423
O16 0.2769 0.5775 0.9423
O17 0.9225 0.0577 0.7769
O18 0.7769 0.9225 0.0577
O19 0.0775 0.5577 0.7231
O20 0.5775 0.9423 0.2769
O21 0.7231 0.0775 0.5577
O22 0.9423 0.2769 0.5775
O23 0.5577 0.7231 0.0775
O24 0.0577 0.7769 0.9225
O25 0.5577 0.7769 0.5775
O26 0.5775 0.5577 0.7769
O27 0.7769 0.5775 0.5577
O28 0.7231 0.4225 0.0577

Results
space group: Pa-3, No. 205
formation energy from raw total energies: -2.915 eV per atom

=====

[12]
The following is a meta-GGA SCAN calculation of a PBEsol-optimized structure of ZrPO3, from Alexandria.

a b c (Å): 4.0754 4.0754 4.0754
angles (deg): 90.00 90.00 90.00
Element x y z (fractional)
O1 0.0000 0.5000 0.5000
O2 0.5000 0.0000 0.5000
O3 0.5000 0.5000 0.0000
P1 0.0000 0.0000 0.0000
Zr1 0.5000 0.5000 0.5000

Results
space group: Pm-3m, No. 221
formation energy from raw total energies: -1.488 eV per atom

=====

[13]
The following is a meta-GGA SCAN calculation of a PBEsol-optimized structure of Zr2P3O12, from Alexandria.

a b c (Å): 8.9596 8.9596 9.2210
angles (deg): 60.93 60.93 60.00
Each line ends with the local moment (μB).
Element x y z (fractional)
Zr1 0.1410 0.1410 0.5770  -0.02
Zr2 0.3590 0.3590 0.9230  -0.02
Zr3 0.8590 0.8590 0.4230  -0.02
Zr4 0.6410 0.6410 0.0770  -0.02
P1 0.4695 0.0305 0.7500  -0.01
P2 0.2500 0.5305 0.2500  -0.01
P3 0.9695 0.2500 0.2500  -0.01
P4 0.0305 0.7500 0.7500  -0.01
P5 0.7500 0.4695 0.7500  -0.01
P6 0.5305 0.9695 0.2500  -0.01
O1 0.3002 0.0601 0.7212  0.08
O2 0.6362 0.0012 0.5880  0.10
O3 0.9399 0.0815 0.2788  0.08
O4 0.2254 0.3638 0.4120  0.10
O5 0.7254 0.4988 0.9120  0.10
O6 0.4399 0.1998 0.7788  0.08
O7 0.4185 0.5601 0.2212  0.08
O8 0.0815 0.6998 0.2788  0.08
O9 0.1362 0.2746 0.0880  0.10
O10 0.9988 0.2254 0.4120  0.10
O11 0.5012 0.1362 0.0880  0.10
O12 0.8002 0.4185 0.2212  0.08
O13 0.1998 0.5815 0.7788  0.08
O14 0.4988 0.8638 0.9120  0.10
O15 0.0012 0.7746 0.5880  0.10
O16 0.8638 0.7254 0.9120  0.10
O17 0.9185 0.3002 0.7212  0.08
O18 0.5815 0.4399 0.7788  0.08
O19 0.5601 0.8002 0.2212  0.08
O20 0.2746 0.5012 0.0880  0.10
O21 0.7746 0.6362 0.5880  0.10
O22 0.0601 0.9185 0.7212  0.08
O23 0.3638 0.9988 0.4120  0.10
O24 0.6998 0.9399 0.2788  0.08

Results
space group: R-3c, No. 167
formation energy from raw total energies: -2.873 eV per atom

=====

[14]
The following is a meta-GGA SCAN calculation of a PBEsol-optimized structure of PaO3, from Alexandria.

a b c (Å): 3.6386 3.9879 3.6386
angles (deg): 62.86 90.00 117.14
Each line ends with the local moment (μB).
Element x y z (fractional)
Pa1 0.0000 0.0000 0.0000  -0.06
O1 0.7500 0.5000 0.7500  0.14
O2 0.2500 0.5000 0.2500  0.14
O3 0.5000 0.0000 0.5000  0.66

Results
space group: I4/mmm, No. 139
formation energy from raw total energies: -2.827 eV per atom

=====

[15]
The following is a meta-GGA SCAN calculation of a PBEsol-optimized structure of PaTlO3, from Alexandria.

a b c (Å): 4.3554 4.3554 4.3554
angles (deg): 90.00 90.00 90.00
Element x y z (fractional)
Tl1 0.0000 0.0000 0.0000
Pa1 0.5000 0.5000 0.5000
O1 0.5000 0.5000 0.0000
O2 0.5000 0.0000 0.5000
O3 0.0000 0.5000 0.5000

Results
space group: Pm-3m, No. 221
formation energy from raw total energies: -2.939 eV per atom

=====

[16]
The following is a meta-GGA SCAN calculation of a PBEsol-optimized structure of TmPaO4, from Alexandria.

a b c (Å): 3.7471 3.7471 5.2721
angles (deg): 90.00 90.00 90.00
Element x y z (fractional)
Pa1 0.5000 0.5000 0.5000
Tm1 0.0000 0.0000 0.0000
O1 0.5000 0.0000 0.7444
O2 0.0000 0.5000 0.2556
O3 0.5000 0.0000 0.2556
O4 0.0000 0.5000 0.7444

Results
space group: P4/mmm, No. 123
formation energy from raw total energies: -4.053 eV per atom

=====

[17]
The following is a meta-GGA SCAN calculation of a PBEsol-optimized structure of YPaO4, from Alexandria.

a b c (Å): 5.3335 5.3335 6.5244
angles (deg): 114.13 114.13 90.00
Element x y z (fractional)
Y1 0.0000 0.0000 0.0000
Y2 0.2500 0.7500 0.5000
Pa1 0.5000 0.5000 0.0000
Pa2 0.7500 0.2500 0.5000
O1 0.6250 0.6153 0.7500
O2 0.1250 0.1347 0.7500
O3 0.8653 0.8750 0.2500
O4 0.3847 0.8750 0.2500
O5 0.1250 0.6153 0.7500
O6 0.3847 0.3750 0.2500
O7 0.8653 0.3750 0.2500
O8 0.6250 0.1347 0.7500

Results
space group: I4_1/amd, No. 141
formation energy from raw total energies: -4.038 eV per atom

=====

Result set for magnetic moment: 0.3978, 0.0000, 0.0000, 0.4898, 0.0001, 0.0000, 0.0000, 0.0000, 0.0000, 0.0651, 0.0000, 0.0011, 0.0646, 0.2500, 0.0000, 0.0000, 0.0000 μB per atom, one per record in the order listed.